# 1
The following is a DFT calculation (PBE) of a relaxed structure of OsN2OF.

**Total DFT energy (no corrections)**: -4.390 eV per atom
**Energy relative to the elements, uncorrected**: 2551.6 meV/atom

Cell and atoms, written as CIF:
```
data_OsN2OF
_space_group_name_H-M_alt 'P 4/m m m'
_space_group_IT_number 123
_space_group_name_Hall '-P 4 2'
_cell_length_a 3.571
_cell_length_b 3.571
_cell_length_c 3.639
_cell_angle_alpha 90.00
_cell_angle_beta 90.00
_cell_angle_gamma 90.00
loop_
_atom_site_label
_atom_site_type_symbol
_atom_site_fract_x
_atom_site_fract_y
_atom_site_fract_z
Os1 Os 0.000 0.000 0.000
N1 N 0.000 0.500 0.500
O1 O 0.500 0.500 0.000
F1 F 0.500 0.500 0.500
```

=====

# 2
The following is a DFT calculation (PBE) of a relaxed structure of PbN2OF.

**Total DFT energy (no corrections)**: -3.931 eV per atom
**Energy relative to the elements, uncorrected**: 1506.9 meV/atom

Cell and atoms, written as CIF:
```
data_PbN2OF
_space_group_name_H-M_alt 'P 4/m m m'
_space_group_IT_number 123
_space_group_name_Hall '-P 4 2'
_cell_length_a 4.604
_cell_length_b 4.604
_cell_length_c 4.564
_cell_angle_alpha 90.00
_cell_angle_beta 90.00
_cell_angle_gamma 90.00
loop_
_atom_site_label
_atom_site_type_symbol
_atom_site_fract_x
_atom_site_fract_y
_atom_site_fract_z
Pb1 Pb 0.000 0.000 0.000
N1 N 0.000 0.500 0.000
O1 O 0.500 0.500 0.500
F1 F 0.000 0.000 0.500
```

=====

# 3
The following is a DFT calculation (PBE) of a relaxed structure of PbNO2F.

**Total DFT energy (no corrections)**: -3.745 eV per atom
**Energy relative to the elements, uncorrected**: 1019.0 meV/atom

Cell and atoms, written as CIF:
```
data_PbNO2F
_space_group_name_H-M_alt 'P 4/m m m'
_space_group_IT_number 123
_space_group_name_Hall '-P 4 2'
_cell_length_a 4.532
_cell_length_b 4.532
_cell_length_c 3.570
_cell_angle_alpha 90.00
_cell_angle_beta 90.00
_cell_angle_gamma 90.00
loop_
_atom_site_label
_atom_site_type_symbol
_atom_site_fract_x
_atom_site_fract_y
_atom_site_fract_z
Pb1 Pb 0.000 0.000 0.000
N1 N 0.500 0.500 0.000
O1 O 0.000 0.500 0.500
F1 F 0.500 0.500 0.500
```